# CeNpTl

A relaxed structure of CeNpTl (PBE, the Alexandria database).

a b c (Å): 5.449 3.526 7.817
angles (deg): 90.00 90.80 90.00
Atoms (fractional coordinates):
Ce 0.135 0.250 0.257
Ce 0.865 0.750 0.743
Np 0.343 0.750 0.496
Np 0.657 0.250 0.504
Tl 0.352 0.250 0.859
Tl 0.648 0.750 0.141

For the calculated formation energy, the calculation gives 0.16 eV/atom. The total magnetic moment comes out at 0.514 μB per atom. Its space-group type is No. 11. For the density of states at the Fermi level, the calculation gives 6.24 states/eV/f.u.